No. 1
This record from Alexandria describes a geometry-optimized Fe3RuRh6 structure. The functional is PBE.

Summary:
DFT formation energy = -0.0066 eV per atom
Space group = P2_1/m, No. 11

abc: 8.391 3.806 8.517
angles: 90.00 91.08 90.00
Sites, in units of the cell vectors:
Fe 0.049 0.250 0.398
Fe 0.146 0.750 0.199
Fe 0.246 0.250 0.998
Fe 0.754 0.750 0.002
Fe 0.854 0.250 0.801
Fe 0.951 0.750 0.602
Ru 0.452 0.250 0.596
Ru 0.548 0.750 0.404
Rh 0.048 0.750 0.899
Rh 0.146 0.250 0.696
Rh 0.246 0.750 0.496
Rh 0.345 0.250 0.297
Rh 0.348 0.750 0.801
Rh 0.445 0.750 0.100
Rh 0.555 0.250 0.900
Rh 0.652 0.250 0.199
Rh 0.655 0.750 0.703
Rh 0.754 0.250 0.504
Rh 0.854 0.750 0.304
Rh 0.952 0.250 0.101

***

No. 2
This record from Alexandria describes a geometry-optimized Fe2RuRh2 structure. The functional is PBE.

Summary:
DFT formation energy = 0.2522 eV per atom
Space group = P4/mbm, No. 127

abc: 7.012 7.012 2.741
angles: 90.00 90.00 90.00
Sites, in units of the cell vectors:
Fe 0.119 0.381 0.000
Fe 0.381 0.881 0.000
Fe 0.619 0.119 0.000
Fe 0.881 0.619 0.000
Ru 0.000 0.000 0.000
Ru 0.500 0.500 0.000
Rh 0.178 0.678 0.500
Rh 0.322 0.178 0.500
Rh 0.678 0.822 0.500
Rh 0.822 0.322 0.500

***

No. 3
This record from Alexandria describes a geometry-optimized Fe2Ru2Rh15 structure. The functional is PBE.

Summary:
DFT formation energy = 0.3868 eV per atom
Space group = R-3m, No. 166

abc: 6.744 6.744 6.744
angles: 80.83 80.83 80.83
Sites, in units of the cell vectors:
Fe 0.215 0.215 0.215
Fe 0.785 0.785 0.785
Ru 0.414 0.414 0.414
Ru 0.586 0.586 0.586
Rh 0.000 0.500 0.500
Rh 0.156 0.500 0.844
Rh 0.156 0.844 0.500
Rh 0.171 0.171 0.670
Rh 0.171 0.670 0.171
Rh 0.330 0.829 0.829
Rh 0.500 0.000 0.500
Rh 0.500 0.156 0.844
Rh 0.500 0.500 0.000
Rh 0.500 0.844 0.156
Rh 0.670 0.171 0.171
Rh 0.829 0.330 0.829
Rh 0.829 0.829 0.330
Rh 0.844 0.156 0.500
Rh 0.844 0.500 0.156

***

No. 4
This record from Alexandria describes a geometry-optimized FeRu2Rh structure. The functional is PBE.

Summary:
DFT formation energy = 0.1379 eV per atom
Space group = R-3m, No. 166

abc: 2.689 2.689 25.999
angles: 90.00 90.00 120.00
Sites, in units of the cell vectors:
Fe 0.000 0.000 0.000
Fe 0.333 0.667 0.667
Fe 0.667 0.333 0.333
Ru 0.000 0.000 0.252
Ru 0.000 0.000 0.748
Ru 0.333 0.667 0.414
Ru 0.333 0.667 0.919
Ru 0.667 0.333 0.081
Ru 0.667 0.333 0.586
Rh 0.000 0.000 0.500
Rh 0.333 0.667 0.167
Rh 0.667 0.333 0.833

***

No. 5
This record from Alexandria describes a geometry-optimized Fe3Ru2Rh6 structure. The functional is PBE.

Summary:
DFT formation energy = 0.0974 eV per atom
Space group = C2/m, No. 12

abc: 13.957 13.957 2.687
angles: 91.98 91.98 16.89
Sites, in units of the cell vectors:
Fe 0.000 0.000 0.000
Fe 0.185 0.185 0.716
Fe 0.815 0.815 0.284
Ru 0.456 0.456 0.284
Ru 0.544 0.544 0.716
Rh 0.091 0.091 0.204
Rh 0.277 0.277 0.758
Rh 0.364 0.364 0.280
Rh 0.636 0.636 0.720
Rh 0.723 0.723 0.242
Rh 0.909 0.909 0.796

***

No. 6
This record from Alexandria describes a geometry-optimized FeRu2Rh structure. The functional is PBE.

Summary:
DFT formation energy = 0.0816 eV per atom
Space group = Cm, No. 8

abc: 8.880 2.687 4.621
angles: 90.00 100.34 90.00
Sites, in units of the cell vectors:
Fe 0.000 0.000 0.000
Fe 0.500 0.500 0.000
Ru 0.249 0.500 0.259
Ru 0.499 0.000 0.491
Ru 0.749 0.000 0.259
Ru 0.999 0.500 0.491
Rh 0.251 0.000 0.763
Rh 0.751 0.500 0.763

***

Number 1: calculated volume 272.0 Å³/cell. Number 2: calculated volume 134.8 Å³/cell. Number 3: calculated volume 296.1 Å³/cell. Number 4: calculated volume 162.8 Å³/cell. Number 5: calculated volume 152.0 Å³/cell. Number 6: calculated volume 108.5 Å³/cell.